Ho3Th2C4: optimized geometry, PBE.

Calculated values
Calculated total energy in eV/atom: -7.546
Crystal system: monoclinic

a = 3.6183 Å, b = 6.3042 Å, c = 8.3470 Å
α = 74.43°, β = 77.48°, γ = 73.32°
Closest atoms and distances in Å follow each position.
Fractional coordinates of all 9 atoms:
Ho (0.2102, 0.4026, 0.1770)  5 C 2.49-2.68
Ho (0.7898, 0.5974, 0.8230)  5 C 2.49-2.68
Ho (0.0000, 0.0000, 0.0000)  6 C 2.58-2.69
C (0.6000, 0.6968, 0.1032)  5 Ho 2.49-2.58, 1 Th 2.53
C (0.8016, 0.0866, 0.3103)  3 Th 2.41-2.70, 3 Ho 2.68-2.69
C (0.4000, 0.3032, 0.8968)  5 Ho 2.49-2.58, 1 Th 2.53
C (0.1984, 0.9134, 0.6897)  3 Th 2.41-2.70, 3 Ho 2.68-2.69
Th (0.4004, 0.8179, 0.3813)  4 C 2.41-2.70
Th (0.5996, 0.1821, 0.6187)  4 C 2.41-2.70


HoThC: optimized geometry, PBE.

Calculated values
Energy above the lowest structure with this stoichiometry in meV/atom: 249.5
Crystal system: orthorhombic

a = 3.8980 Å, b = 5.9958 Å, c = 6.8594 Å
α = 90.00°, β = 106.51°, γ = 90.00°
Closest atoms and distances in Å follow each position.
Fractional coordinates of all 6 atoms:
C (0.8360, 0.8939, 0.6719)  1 Ho 2.30, 3 Th 2.41-2.51
C (0.1640, 0.3939, 0.3281)  1 Ho 2.30, 3 Th 2.41-2.51
Ho (0.9573, 0.6185, 0.9146)  1 C 2.30
Ho (0.0427, 0.1185, 0.0854)  1 C 2.30
Th (0.3099, 0.1241, 0.6197)  3 C 2.41-2.51
Th (0.6901, 0.6241, 0.3803)  3 C 2.41-2.51


Ho2Th5C4: optimized geometry, PBE.

Calculated values
Calculated total energy in eV/atom: -7.527
Crystal system: monoclinic

a = 3.5973 Å, b = 8.9986 Å, c = 9.3380 Å
α = 98.78°, β = 101.11°, γ = 90.00°
Closest atoms and distances in Å follow each position.
Fractional coordinates of all 11 atoms:
C (0.6705, 0.5084, 0.3411)  5 Th 2.47-2.65, 1 Ho 2.49
C (0.9869, 0.1918, 0.9738)  3 Th 2.44-2.53, 2 Ho 2.47
C (0.3295, 0.4916, 0.6589)  5 Th 2.47-2.65, 1 Ho 2.49
C (0.0131, 0.8082, 0.0262)  3 Th 2.44-2.53, 2 Ho 2.47
Ho (0.4561, 0.6402, 0.9121)  3 C 2.47-2.49
Ho (0.5439, 0.3598, 0.0879)  3 C 2.47-2.49
Th (0.1231, 0.6868, 0.2462)  3 C 2.44-2.65
Th (0.8769, 0.3132, 0.7538)  3 C 2.44-2.65
Th (0.2058, 0.3362, 0.4116)  3 C 2.47-2.52
Th (0.7942, 0.6638, 0.5884)  3 C 2.47-2.52
Th (0.5000, 0.0000, 0.0000)  4 C 2.53


HoTh5C4: optimized geometry, PBE.

Calculated values
Calculated total energy in eV/atom: -8.129
Crystal system: monoclinic

a = 3.6785 Å, b = 7.5085 Å, c = 8.2591 Å
α = 102.34°, β = 102.87°, γ = 90.00°
Closest atoms and distances in Å follow each position.
Fractional coordinates of all 10 atoms:
Th (0.8415, 0.6918, 0.6830)  3 C 2.45-2.53
Th (0.5000, 0.5000, 0.0000)  4 C 2.63
Th (0.1585, 0.3082, 0.3170)  3 C 2.45-2.53
Th (0.1623, 0.8420, 0.3246)  4 C 2.56-2.69
Th (0.8377, 0.1580, 0.6754)  4 C 2.56-2.69
C (0.0029, 0.2516, 0.0059)  4 Th 2.45-2.63, 2 Ho 2.63
C (0.6665, 0.0806, 0.3330)  5 Th 2.53-2.69, 1 Ho 2.62
C (0.3335, 0.9194, 0.6670)  5 Th 2.53-2.69, 1 Ho 2.62
C (0.9971, 0.7484, 0.9941)  4 Th 2.45-2.63, 2 Ho 2.63
Ho (0.5000, 0.0000, 0.0000)  6 C 2.62-2.63


HoTiC: optimized geometry, PBE.

Calculated values
Energy above the lowest structure with this stoichiometry in meV/atom: 0.0
Crystal system: trigonal

a = 5.5364 Å, b = 3.3079 Å, c = 3.3079 Å
α = 120.00°, β = 90.00°, γ = 90.00°
Closest atoms and distances in Å follow each position.
Fractional coordinates of all 3 atoms:
C (0.0384, 0.0000, 0.0000)  3 Ti 2.12
Ti (0.2066, 0.3333, 0.6667)  3 C 2.12
Ho (0.7550, 0.6667, 0.3333)  3 C 2.47


HoTiC2: optimized geometry, PBE.

Calculated values
Calculated total energy in eV/atom: -8.033
Crystal system: trigonal

a = 3.2906 Å, b = 3.2906 Å, c = 5.7964 Å
α = 73.51°, β = 73.51°, γ = 60.00°
Closest atoms and distances in Å follow each position.
Fractional coordinates of all 4 atoms:
Ti (0.0000, 0.0000, 0.0000)  6 C 2.23
C (0.7379, 0.7379, 0.7864)  3 Ti 2.23, 3 Ho 2.46
C (0.2621, 0.2621, 0.2136)  3 Ti 2.23, 3 Ho 2.46
Ho (0.5000, 0.5000, 0.5000)  6 C 2.46


HoTiC: optimized geometry, PBE.

Calculated values
Energy above the lowest structure with this stoichiometry in meV/atom: 454.4
Crystal system: orthorhombic

a = 3.1481 Å, b = 3.1481 Å, c = 5.8124 Å
α = 99.44°, β = 99.44°, γ = 113.23°
Closest atoms and distances in Å follow each position.
Fractional coordinates of all 3 atoms:
Ho (0.9753, 0.9753, 0.9506)  2 C 2.49
Ti (0.7112, 0.7112, 0.4225)  2 C 2.07
C (0.3135, 0.3135, 0.6269)  2 Ti 2.07


HoTlC: optimized geometry, PBE.

Calculated values
Calculated total energy in eV/atom: -5.461
Crystal system: triclinic

a = 3.9096 Å, b = 5.5667 Å, c = 6.3769 Å
α = 80.92°, β = 77.60°, γ = 86.23°
Closest atoms and distances in Å follow each position.
Fractional coordinates of all 6 atoms:
C (0.8857, 0.5585, 0.9447)  1 C 1.33
C (0.1143, 0.4415, 0.0553)  1 C 1.33
Ho (0.4470, 0.7480, 0.7886)  3 C 2.28-2.44
Ho (0.5530, 0.2520, 0.2114)  3 C 2.28-2.44
Tl (0.9265, 0.2348, 0.6636)  1 C 2.71
Tl (0.0735, 0.7652, 0.3364)  1 C 2.71